Ac3In2Pb4: optimized geometry, PBE.

Unit cell a=8.5008 b=8.5008 c=4.9139 alpha=90.00 beta=90.00 gamma=120.00
With the nearest neighbours (Å) after each atom.
Fractional positions:
Ac 0.0000 0.6023 0.0000  3 Pb 3.38-3.76, 4 In 3.58
Ac 0.3977 0.3977 0.0000  3 Pb 3.38-3.76, 4 In 3.58
Ac 0.6023 0.0000 0.0000  3 Pb 3.38-3.76, 4 In 3.58
In 0.3333 0.6667 0.5000  3 Pb 3.15
In 0.6667 0.3333 0.5000  3 Pb 3.15
Pb 0.0000 0.0000 0.0000  6 Pb 3.35, 3 Ac 3.38
Pb 0.0000 0.2682 0.5000  2 In 3.15, 2 Pb 3.35
Pb 0.2682 0.0000 0.5000  2 In 3.15, 2 Pb 3.35
Pb 0.7318 0.7318 0.5000  2 In 3.15, 2 Pb 3.35

Energy of formation from the pure elements ... -3.384 eV/f.u.
Space-group type ... P-62m (189)
Density ... 9.39 g/cm3

---

Ac5In4Pb: optimized geometry, PBE.

Unit cell a=4.1147 b=4.1147 c=20.6154 alpha=90.00 beta=90.00 gamma=90.00
With the nearest neighbours (Å) after each atom.
Fractional positions:
Ac 0.0000 0.0000 0.0000  8 In 3.55
Ac 0.0000 0.0000 0.1982  8 In 3.54-3.56
Ac 0.0000 0.0000 0.3965  4 In 3.57, 4 Pb 3.61
Ac 0.0000 0.0000 0.6035  4 In 3.57, 4 Pb 3.61
Ac 0.0000 0.0000 0.8018  8 In 3.54-3.56
In 0.5000 0.5000 0.0989  8 Ac 3.55-3.56
In 0.5000 0.5000 0.2960  8 Ac 3.54-3.57
In 0.5000 0.5000 0.7040  8 Ac 3.54-3.57
In 0.5000 0.5000 0.9011  8 Ac 3.55-3.56
Pb 0.5000 0.5000 0.5000  8 Ac 3.61

Energy of formation from the pure elements ... -4.335 eV/f.u.
Space-group type ... P4/mmm (123)
Density ... 8.57 g/cm3

---

AcIn2Pb2: optimized geometry, PBE.

Unit cell a=12.6877 b=12.6877 c=5.0023 alpha=90.00 beta=90.00 gamma=157.51
With the nearest neighbours (Å) after each atom.
Fractional positions:
Ac 0.1416 0.8584 0.7500  4 In 3.48-3.57, 8 Pb 3.52-3.67
Ac 0.8584 0.1416 0.2500  4 In 3.48-3.57, 8 Pb 3.52-3.67
In 0.0395 0.9605 0.2500  8 In 3.18-3.52
In 0.4569 0.5431 0.2500  8 In 3.22-3.52, 2 Ac 3.48, 2 Pb 3.55
In 0.5431 0.4569 0.7500  8 In 3.22-3.52, 2 Ac 3.48, 2 Pb 3.55
In 0.9605 0.0395 0.7500  8 In 3.18-3.52
Pb 0.2493 0.7507 0.2500  8 Pb 3.52-3.64, 4 Ac 3.67
Pb 0.3556 0.6444 0.7500  4 Ac 3.52, 4 In 3.55-3.60, 4 Pb 3.60-3.64
Pb 0.6444 0.3556 0.2500  4 Ac 3.52, 4 In 3.55-3.60, 4 Pb 3.60-3.64
Pb 0.7507 0.2493 0.7500  8 Pb 3.52-3.64, 4 Ac 3.67

Energy of formation from the pure elements ... -1.359 eV/f.u.
Space-group type ... Cmcm (63)
Density ... 9.39 g/cm3

---

Ac5InPb6: optimized geometry, PBE.

Unit cell a=9.8914 b=9.8914 c=5.2440 alpha=105.25 beta=105.25 gamma=58.20
With the nearest neighbours (Å) after each atom.
Fractional positions:
Ac 0.0000 0.0000 0.0000  8 Pb 3.49-3.65, 4 Ac 3.87-3.88
Ac 0.1734 0.1734 0.6734  8 Pb 3.55-3.67, 2 Ac 3.87-3.88
Ac 0.3572 0.3572 0.3571  6 Pb 3.44-3.59, 2 In 3.52-3.53
Ac 0.6428 0.6428 0.6429  6 Pb 3.44-3.59, 2 In 3.52-3.53
Ac 0.8266 0.8266 0.3266  8 Pb 3.55-3.67, 2 Ac 3.87-3.88
In 0.5000 0.5000 0.0000  4 Ac 3.52-3.53, 8 Pb 3.63-3.68
Pb 0.0805 0.5839 0.8320  7 Ac 3.55-3.93, 1 In 3.68, 4 Pb 3.77-3.82
Pb 0.2391 0.7609 0.5000  6 Ac 3.44-3.67, 2 In 3.63, 4 Pb 3.81-3.82
Pb 0.4161 0.9195 0.1680  7 Ac 3.55-3.93, 1 In 3.68, 4 Pb 3.77-3.82
Pb 0.5839 0.0805 0.8320  7 Ac 3.55-3.93, 1 In 3.68, 4 Pb 3.77-3.82
Pb 0.7609 0.2391 0.5000  6 Ac 3.44-3.67, 2 In 3.63, 4 Pb 3.81-3.82
Pb 0.9195 0.4161 0.1680  7 Ac 3.55-3.93, 1 In 3.68, 4 Pb 3.77-3.82

Energy of formation from the pure elements ... -5.415 eV/f.u.
Space-group type ... C2/m (12)
Density ... 9.96 g/cm3

---

Ac2InPb: optimized geometry, PBE.

Unit cell a=6.0992 b=6.0992 c=3.8233 alpha=90.00 beta=90.00 gamma=100.03
With the nearest neighbours (Å) after each atom.
Fractional positions:
Ac 0.0000 0.5000 0.0000  4 Pb 3.60, 4 In 3.60, 4 Ac 3.82-3.92
Ac 0.5000 0.0000 0.0000  4 Pb 3.60, 4 In 3.60, 4 Ac 3.82-3.92
In 0.0000 0.0000 0.5000  8 Ac 3.60, 2 In 3.82, 2 Pb 3.92
Pb 0.5000 0.5000 0.5000  8 Ac 3.60, 2 Pb 3.82, 2 In 3.92

Energy of formation from the pure elements ... -1.810 eV/f.u.
Space-group type ... Cmmm (65)
Density ... 9.20 g/cm3

---

AcInPb: optimized geometry, PBE.

Unit cell a=6.7731 b=6.7731 c=6.7731 alpha=145.77 beta=145.77 gamma=49.18
With the nearest neighbours (Å) after each atom.
Fractional positions:
Ac 0.0000 0.0000 0.0000  5 In 3.58-3.95, 5 Pb 3.69-3.77, 4 Ac 3.99
In 0.6796 0.6796 0.0000  4 Pb 3.22, 4 Ac 3.58
Pb 0.3065 0.3065 0.0000  4 In 3.22

Energy of formation from the pure elements ... -0.898 eV/f.u.
Space-group type ... I4mm (107)
Offset from the most stable computed form ... 0.1303 eV per atom
Density ... 9.32 g/cm3

---

Question: Which of these has the lowest energy of formation from the pure elements?
Answer: Ac5InPb6